1.
Material: La2Pd3Au
Method: DFT, GGA-PBE
State: optimized geometry

Its final energy is -5.560 eV per atom. For the formation energy, the calculation gives -4.7 eV per formula unit. The value obtained for the energy above the most stable polymorph in this dataset is 0.025 eV per atom. As for the calculated density: 9.39 g/cm³.

Geometry as CIF:
```
data_La2Pd3Au
_chemical_formula_sum 'La16 Pd24 Au8'
_symmetry_space_group_name_H-M 'F m m m'
_symmetry_Int_Tables_number 69
_symmetry_space_group_name_Hall '-F 2 2'
_cell_length_a 7.568
_cell_length_b 9.717
_cell_length_c 15.279
_cell_angle_alpha 90.00
_cell_angle_beta 90.00
_cell_angle_gamma 90.00
loop_
_atom_site_label
_atom_site_type_symbol
_atom_site_fract_x
_atom_site_fract_y
_atom_site_fract_z
La1 La 0.248 0.000 0.000
La2 La 0.250 0.250 0.250
Pd1 Pd 0.000 0.000 0.154
Pd2 Pd 0.000 0.247 0.412
Au1 Au 0.000 0.000 0.331
```

---

2.
Material: ZrSiAu2
Method: DFT, GGA-PBE
State: optimized geometry

Its final energy is -5.371 eV per atom. As for the raw formation energy: -239 meV/atom. As for the calculated density: 11.85 g/cm³.

Geometry as CIF:
```
data_ZrSiAu2
_chemical_formula_sum 'Zr1 Si1 Au2'
_symmetry_space_group_name_H-M 'P 4 m m'
_symmetry_Int_Tables_number 99
_cell_length_a 3.185
_cell_length_b 3.185
_cell_length_c 7.091
_cell_angle_alpha 90.00
_cell_angle_beta 90.00
_cell_angle_gamma 90.00
loop_
_symmetry_equiv_pos_as_xyz
'x,y,z'
'-y,x,z'
'-x,-y,z'
'y,-x,z'
'-x,y,z'
'y,x,z'
'x,-y,z'
'-y,-x,z'
loop_
_atom_site_label
_atom_site_type_symbol
_atom_site_fract_x
_atom_site_fract_y
_atom_site_fract_z
Zr1 Zr 0.000 0.000 0.000
Si1 Si 0.500 0.500 0.745
Au1 Au 0.000 0.000 0.545
Au2 Au 0.500 0.500 0.265
```